No. 1
! AlFeMo (PBE-GGA, relaxed); values from VASP
&SYSTEM
  ibrav = 0, nat = 3, ntyp = 3
/
ATOMIC_SPECIES
Al 26.98 Al.upf
Fe 55.84 Fe.upf
Mo 95.94 Mo.upf
ATOMIC_POSITIONS crystal
Al 0.000 0.000 0.000
Fe 0.667 0.333 0.275
Mo 0.333 0.667 0.552
CELL_PARAMETERS angstrom
4.137 0.000 0.000
-2.069 3.583 0.000
0.000 0.000 2.737
! energy relative to the elements: -27 kJ/mol of formula units
! energy above the lowest structure with this stoichiometry: 118 meV/atom
! VASP energy: -7.7735 eV/atom


No. 2
! AlFeMo (PBE-GGA, relaxed); values from VASP
&SYSTEM
  ibrav = 0, nat = 3, ntyp = 3
/
ATOMIC_SPECIES
Al 26.98 Al.upf
Fe 55.84 Fe.upf
Mo 95.94 Mo.upf
ATOMIC_POSITIONS crystal
Al 0.000 0.000 0.000
Fe 0.649 0.649 0.000
Mo 0.309 0.309 0.000
CELL_PARAMETERS angstrom
-1.432 1.432 4.850
1.432 -1.432 4.850
1.432 1.432 -4.850
! energy relative to the elements: -61 kJ/mol of formula units
! energy above the lowest structure with this stoichiometry: 0 meV/atom
! VASP energy: -7.8911 eV/atom


- What is the VASP energy in the first record?
  -7.7735 eV/atom


- What is the VASP energy in the first record?
  -7.7735 eV/atom


- Which formula does entry 2 have?
  AlFeMo